Entry 1:
Material: LiLaY2
Method: DFT, GGA-PBE
State: relaxed

Lattice parameters (Å, degrees): 3.562 4.928 7.109 90.00 90.00 90.00
Element x y z (fractional)
La (0.000, 0.000, 0.508)
Li (0.500, 0.500, 0.758)
Y (0.000, 0.000, 0.998)
Y (0.500, 0.500, 0.237)

relative energy among the computed polymorphs	7.1	kJ/mol of atoms
VASP energy	-4.7985	eV/atom
energy of formation from the pure elements	0.144	eV/atom
symmetry	Pmm2, No. 25
V	124.78	Å³/cell
total magnetic moment	0.000	μB per atom
mass density	4.3	g cm⁻³



Entry 2:
Material: La3Mg2In4
Method: DFT, GGA-PBE
State: relaxed

Lattice parameters (Å, degrees): 5.025 6.375 9.326 72.43 74.37 66.79
Element x y z (fractional)
La (0.333, 0.666, 0.668)
La (0.000, 0.000, 0.000)
La (0.667, 0.334, 0.332)
Mg (0.390, 0.942, 0.279)
Mg (0.610, 0.058, 0.721)
In (0.303, 0.361, 0.033)
In (0.697, 0.639, 0.967)
In (0.075, 0.258, 0.592)
In (0.925, 0.742, 0.408)

VASP energy	-3.6615	eV/atom
energy of formation from the pure elements	-0.448	eV/atom
symmetry	C2/m, No. 12
V	257.88	Å³/cell
total magnetic moment	0.000	μB per atom
mass density	6.0	g cm⁻³



Entry 3:
Material: Co2Au3
Method: DFT, GGA-PBE
State: relaxed

Lattice parameters (Å, degrees): 8.348 7.230 5.368 81.56 58.94 39.50
Element x y z (fractional)
Co (0.907, 0.176, 0.558)
Co (0.359, 0.558, 0.176)
Co (0.074, 0.343, 0.891)
Co (0.692, 0.891, 0.343)
Au (0.475, 0.733, 0.446)
Au (0.346, 0.446, 0.733)
Au (0.517, 0.775, 0.904)
Au (0.804, 0.904, 0.775)
Au (0.913, 0.087, 0.087)
Au (0.163, 0.337, 0.337)

relative energy among the computed polymorphs	0.4	kJ/mol of atoms
VASP energy	-4.5114	eV/atom
energy of formation from the pure elements	0.297	eV/atom
symmetry	Fdd2, No. 43
V	156.64	Å³/cell
total magnetic moment	0.724	μB per atom
mass density	15.0	g cm⁻³



Entry 4:
Material: YBeNbIr2
Method: DFT, GGA-PBE
State: relaxed

Lattice parameters (Å, degrees): 4.323 4.443 4.323 90.00 90.00 90.00
Element x y z (fractional)
Y (0.500, 0.500, 0.500)
Be (0.000, 0.000, 0.000)
Nb (0.000, 0.500, 0.000)
Ir (0.000, 0.000, 0.500)
Ir (0.500, 0.000, 0.000)

relative energy among the computed polymorphs	0.0	kJ/mol of atoms
VASP energy	-7.7027	eV/atom
energy of formation from the pure elements	-0.106	eV/atom
symmetry	P4/mmm, No. 123
V	83.05	Å³/cell
total magnetic moment	0.000	μB per atom
mass density	11.5	g cm⁻³



Entry 5:
Material: La2Hg2I
Method: DFT, GGA-PBE
State: relaxed

Lattice parameters (Å, degrees): 9.066 9.066 3.868 90.00 90.00 90.00
Element x y z (fractional)
I (0.000, 0.000, 0.000)
I (0.500, 0.500, 0.000)
Hg (0.382, 0.882, 0.000)
Hg (0.882, 0.618, 0.000)
Hg (0.618, 0.118, 0.000)
Hg (0.118, 0.382, 0.000)
La (0.179, 0.679, 0.500)
La (0.679, 0.821, 0.500)
La (0.821, 0.321, 0.500)
La (0.321, 0.179, 0.500)

relative energy among the computed polymorphs	17.1	kJ/mol of atoms
VASP energy	-2.9265	eV/atom
symmetry	P4/mbm, No. 127
V	317.96	Å³/cell
total magnetic moment	0.000	μB per atom
formation energy from raw total energies	-525	meV/atom
mass density	8.4	g cm⁻³



Entry 6:
Material: Sc3PaRu4
Method: DFT, GGA-PBE
State: relaxed

Lattice parameters (Å, degrees): 4.631 6.533 9.261 90.00 90.00 90.00
Element x y z (fractional)
Sc (0.000, 0.000, 0.000)
Sc (0.000, 0.000, 0.500)
Sc (0.500, 0.000, 0.750)
Sc (0.500, 0.000, 0.250)
Sc (0.500, 0.500, 0.750)
Sc (0.500, 0.500, 0.250)
Ru (0.500, 0.744, 0.000)
Ru (0.500, 0.744, 0.500)
Ru (0.500, 0.256, 0.000)
Ru (0.500, 0.256, 0.500)
Ru (0.000, 0.744, 0.750)
Ru (0.000, 0.744, 0.250)
Ru (0.000, 0.256, 0.250)
Ru (0.000, 0.256, 0.750)
Pa (0.000, 0.500, 0.000)
Pa (0.000, 0.500, 0.500)

VASP energy	-8.8587	eV/atom
energy of formation from the pure elements	-0.659	eV/atom
symmetry	P4/mmm, No. 123
V	280.16	Å³/cell
total magnetic moment	0.000	μB per atom
mass density	9.1	g cm⁻³



Please write out number 1 again, unchanged.
Material: LiLaY2
Method: DFT, GGA-PBE
State: relaxed

Lattice parameters (Å, degrees): 3.562 4.928 7.109 90.00 90.00 90.00
Element x y z (fractional)
La (0.000, 0.000, 0.508)
Li (0.500, 0.500, 0.758)
Y (0.000, 0.000, 0.998)
Y (0.500, 0.500, 0.237)

relative energy among the computed polymorphs	7.1	kJ/mol of atoms
VASP energy	-4.7985	eV/atom
energy of formation from the pure elements	0.144	eV/atom
symmetry	Pmm2, No. 25
V	124.78	Å³/cell
total magnetic moment	0.000	μB per atom
mass density	4.3	g cm⁻³



Copy entry 4 word for word.
Material: YBeNbIr2
Method: DFT, GGA-PBE
State: relaxed

Lattice parameters (Å, degrees): 4.323 4.443 4.323 90.00 90.00 90.00
Element x y z (fractional)
Y (0.500, 0.500, 0.500)
Be (0.000, 0.000, 0.000)
Nb (0.000, 0.500, 0.000)
Ir (0.000, 0.000, 0.500)
Ir (0.500, 0.000, 0.000)

relative energy among the computed polymorphs	0.0	kJ/mol of atoms
VASP energy	-7.7027	eV/atom
energy of formation from the pure elements	-0.106	eV/atom
symmetry	P4/mmm, No. 123
V	83.05	Å³/cell
total magnetic moment	0.000	μB per atom
mass density	11.5	g cm⁻³